# Tb2PrDyHg4

A relaxed Tb2PrDyHg4 crystal (PBE-GGA, Alexandria).

extended XYZ file:
```
8
Lattice="2.6568 1.5339 8.7441 -2.6568 1.5339 8.7441 0.0000 -3.0678 8.7441" Properties=species:S:1:pos:R:3 pbc="T T T"
Tb 0.0000 0.0000 6.5707
Tb 0.0000 0.0000 19.6615
Pr 0.0000 0.0000 13.1161
Dy 0.0000 0.0000 0.0000
Hg 0.0000 0.0000 3.1935
Hg 0.0000 0.0000 9.7728
Hg 0.0000 0.0000 16.4594
Hg 0.0000 0.0000 23.0387
```

SG = R-3m (166)
DFT formation energy = -3.8 eV/f.u.
Total moment = 1.163 μB/f.u.